1.
This record from Alexandria describes a relaxed structure of Tb5Ho3Co2. The functional is PBE.

Summary:
**E**: -5.1405 eV/atom
**Total magnetic moment**: 0.000 μB per formula unit

Cell lengths 10.166, 14.722, 7.638 Å; angles 90.00, 90.00, 90.00 degrees
Space group Ibam (No. 72)
Asymmetric unit:
1 Tb 0.000 0.000 0.250 x4
2 Tb 0.000 0.247 0.250 x8
3 Tb 0.244 0.122 0.000 x8
4 Ho 0.000 0.500 0.250 x4
5 Ho 0.244 0.124 0.500 x8
6 Co 0.000 0.370 0.000 x8

***

2.
This record from Alexandria describes a relaxed structure of CdCo3Ru. The functional is PBE.

Summary:
**Total magnetic moment**: 7.214 μB per formula unit
**ΔE to the lowest computed polymorph**: 0.7706 eV/atom

Cell lengths 4.570, 4.570, 4.570 Å; angles 90.00, 90.00, 90.00 degrees
Space group Pm-3m (No. 221)
Asymmetric unit:
1 Cd 0.000 0.000 0.000 x1
2 Co 0.000 0.000 0.500 x3
3 Ru 0.500 0.500 0.500 x1

***

3.
This record from Alexandria describes a relaxed structure of HoCu11Ni. The functional is PBE.

Summary:
**E**: -4.3580 eV/atom
**Total magnetic moment**: 0.000 μB per formula unit

Cell lengths 4.818, 12.001, 6.367 Å; angles 90.00, 111.10, 90.00 degrees
Space group C2/m (No. 12)
Asymmetric unit:
1 Ho 0.000 0.000 0.000 x2
2 Cu 0.000 0.500 0.500 x2
3 Cu 0.111 0.390 0.222 x8
4 Cu 0.168 0.176 0.356 x8
5 Cu 0.250 0.250 0.000 x4
6 Ni 0.000 0.000 0.500 x2

***

4.
This record from Alexandria describes a relaxed structure of HfAlS2N. The functional is PBE.

Summary:
**Total magnetic moment**: 1.256 μB per formula unit
**ΔE_f (raw)**: -0.878 eV/f.u.
**ΔE to the lowest computed polymorph**: 0.0738 eV/atom

Cell lengths 5.024, 5.024, 4.095 Å; angles 90.00, 90.00, 90.00 degrees
Space group P4/mmm (No. 123)
Asymmetric unit:
1 Hf 0.000 0.000 0.000 x1
2 Al 0.500 0.500 0.500 x1
3 S 0.000 0.500 0.000 x2
4 N 0.000 0.000 0.500 x1

***

5.
This record from Alexandria describes a relaxed structure of ScCd2H. The functional is PBE.

Summary:
**Total magnetic moment**: 0.000 μB per formula unit
**ΔE to the lowest computed polymorph**: 0.0000 eV/atom

Cell lengths 8.927, 8.927, 3.865 Å; angles 90.00, 90.00, 90.00 degrees
Space group I-42d (No. 122)
Asymmetric unit:
1 Sc 0.000 0.000 0.000 x4
2 Cd 0.134 0.750 0.625 x8
3 H 0.000 0.000 0.500 x4

***

6.
This record from Alexandria describes a relaxed structure of Dy8Co2Os. The functional is PBE.

Summary:
**E**: -5.7345 eV/atom
**Total magnetic moment**: 0.000 μB per formula unit

Cell lengths 8.078, 12.380, 5.968 Å; angles 90.00, 108.81, 90.00 degrees
Space group Cm (No. 8)
Asymmetric unit:
1 Dy 0.000 0.000 0.000 x2
2 Dy 0.062 0.370 0.784 x4
3 Dy 0.147 0.131 0.596 x4
4 Dy 0.216 0.500 0.367 x2
5 Dy 0.358 0.213 0.183 x4
6 Co 0.354 0.310 0.688 x4
7 Os 0.361 0.000 0.027 x2

***

7.
This record from Alexandria describes a relaxed structure of Ni3Bi2Te2. The functional is PBE.

Summary:
**Total magnetic moment**: 0.000 μB per formula unit
**ΔE_f (raw)**: -0.919 eV/f.u.
**ΔE to the lowest computed polymorph**: 0.0000 eV/atom

Cell lengths 12.504, 4.082, 6.855 Å; angles 90.00, 121.51, 90.00 degrees
Space group C2/m (No. 12)
Asymmetric unit:
1 Ni 0.000 0.000 0.000 x2
2 Ni 0.246 0.500 0.774 x4
3 Bi 0.131 0.500 0.304 x4
4 Te 0.123 0.000 0.785 x4

***

8.
This record from Alexandria describes a relaxed structure of NbZn2Tc2. The functional is PBE.

Summary:
**Total magnetic moment**: 0.000 μB per formula unit
**ΔE to the lowest computed polymorph**: 0.1199 eV/atom

Cell lengths 7.229, 7.229, 2.994 Å; angles 90.00, 90.00, 90.00 degrees
Space group P4/mbm (No. 127)
Asymmetric unit:
1 Nb 0.000 0.000 0.000 x2
2 Zn 0.179 0.321 0.500 x4
3 Tc 0.116 0.616 0.000 x4

***

9.
This record from Alexandria describes a relaxed structure of Pm3Er6Th. The functional is PBE.

Summary:
**Total magnetic moment**: 0.000 μB per formula unit
**ΔE to the lowest computed polymorph**: 0.1589 eV/atom

Cell lengths 9.8545, 9.8545, 11.7037 Å; angles 90.00, 90.00, 120.00 degrees
Space group R3 (No. 146, hexagonal axes)
Asymmetric unit:
1 Pm 0.0000 0.0000 0.0000 x3
2 Pm 0.0000 0.0000 0.2429 x3
3 Pm 0.0000 0.0000 0.4858 x3
4 Er 0.0000 0.3278 0.7435 x9
5 Er 0.0000 0.6675 0.2435 x9
6 Th 0.0000 0.0000 0.7430 x3

***

10.
This record from Alexandria describes a relaxed structure of KLaZrTl2. The functional is PBE.

Summary:
**Total magnetic moment**: 2.032 μB per formula unit
**ΔE to the lowest computed polymorph**: 0.8179 eV/atom

Cell lengths 5.669, 5.669, 5.398 Å; angles 90.00, 90.00, 90.00 degrees
Space group P4/mmm (No. 123)
Asymmetric unit:
1 K 0.000 0.000 0.000 x1
2 La 0.500 0.500 0.500 x1
3 Zr 0.000 0.000 0.500 x1
4 Tl 0.000 0.500 0.000 x2

***

11.
This record from Alexandria describes a relaxed structure of Tb5Pr5Sm. The functional is PBE.

Summary:
**E**: -4.4299 eV/atom
**Total magnetic moment**: 0.001 μB per formula unit

Cell lengths 6.1948, 6.1948, 11.7917 Å; angles 90.00, 90.00, 120.00 degrees
Space group P-6m2 (No. 187)
Asymmetric unit:
1 Tb 0.0000 0.0000 0.2342 x2
2 Tb 0.3339 0.1670 0.0000 x3
3 Pr 0.0000 0.0000 0.5000 x1
4 Pr 0.3333 0.6667 0.1809 x2
5 Pr 0.6667 0.3333 0.3443 x2
6 Sm 0.3333 0.6667 0.5000 x1

***

> Which value of total magnetic moment does entry 9 give?

0.000 μB per formula unit

***

> Which value of total magnetic moment does entry 8 give?

0.000 μB per formula unit